Material: SnW2F2
Method: DFT, PBE+U
State: optimized geometry

Structure (POSCAR):
```
SnW2F2
1.0
-2.716 1.649 -1.943
1.518 -1.234 -3.169
-3.831 -4.692 -2.197
Sn W F
1 2 2
direct
0.000 0.000 0.000
0.387 0.387 0.225
0.613 0.613 0.775
0.750 0.250 0.500
0.250 0.750 0.500
```

## Properties
Space-group type: No. 139
Energy above the lowest structure with this stoichiometry, eV per atom: 0.000